Arrangement a

Tl2HgAu at its PBEsol-relaxed geometry. Source: Alexandria via LeMat-Bulk, functional meta-GGA SCAN.

a = 3.776 Å, b = 4.605 Å, c = 5.862 Å
α = 90.00°, β = 108.21°, γ = 90.00°
Space group Pm (No. 6)
Unique sites:
Tl1 0.000 0.000 0.000
Tl2 0.302 0.500 0.610
Hg1 0.723 0.000 0.455
Au1 0.568 0.500 0.137

Output
Calculated density   13.8 g/cm³
Spin magnetization   0.00 μB per formula unit
Calculated volume   24.2 Å³/atom


Arrangement b

Tl2HgAu at its PBEsol-relaxed geometry. Source: Alexandria via LeMat-Bulk, functional meta-GGA SCAN.

a = 4.1162 Å, b = 4.1162 Å, c = 21.5249 Å
α = 90.00°, β = 90.00°, γ = 120.00°
Space group R-3m (No. 166, hexagonal axes)
Unique sites:
Tl1 0.0000 0.0000 0.2415
Hg1 0.0000 0.0000 0.0000
Au1 0.0000 0.0000 0.5000

Output
Calculated density   12.7 g/cm³
Spin magnetization   0.00 μB per formula unit
Calculated volume   26.3 Å³/atom


Which of them is the most stable? Correct choice: arrangement b.